Entry 1:
This record from Alexandria describes Nd2Ni2Br after structural relaxation. The functional is GGA-PBE.

Cell: 4.0482 4.0482 25.1906 Å, 90.00 90.00 120.00°
Last column: nearest neighbours and their distance in Å.
Space group R-3m (No. 166, hexagonal axes)
Inequivalent atoms, fractional coordinates:
Nd (0.0000, 0.0000, 0.0728)  6 Ni 2.96-2.98
Ni (0.0000, 0.0000, 0.3329)  3 Ni 2.34
Br (0.0000, 0.0000, 0.5000)  6 Nd 3.33

Computed properties:
The value obtained for the uncorrected energy is -80.02 eV for the cell shown. As for the energy relative to the elements, uncorrected: -0.780 eV per atom. The calculation puts the spin magnetization at 0.00 Bohr magnetons per cell.



Entry 2:
This record from Alexandria describes TbPr2F after structural relaxation. The functional is GGA-PBE.

Cell: 3.8211 3.8211 26.3337 Å, 90.00 90.00 120.00°
Last column: nearest neighbours and their distance in Å.
Space group R-3m (No. 166, hexagonal axes)
Inequivalent atoms, fractional coordinates:
Tb (0.0000, 0.0000, 0.0000)  6 Pr 3.63, 6 Tb 3.82
Pr (0.0000, 0.0000, 0.2239)  3 F 2.67
F (0.0000, 0.0000, 0.5000)  6 Pr 2.67

Computed properties:
The value obtained for the uncorrected energy is -61.74 eV for the cell shown. As for the energy relative to the elements, uncorrected: -1.129 eV per atom. The calculation puts the spin magnetization at 0.00 Bohr magnetons per cell.



Entry 3:
This record from Alexandria describes K8AsAu2 after structural relaxation. The functional is GGA-PBE.

Cell: 5.7048 8.9835 16.7025 Å, 90.00 90.00 90.00°
Last column: nearest neighbours and their distance in Å.
Space group Immm (No. 71)
Inequivalent atoms, fractional coordinates:
K (0.0000, 0.0000, 0.1437)  8 K 3.58-3.96, 2 As 3.73
K (0.0000, 0.2295, 0.3463)  1 As 3.54, 3 Au 3.55-3.66, 4 K 3.75-3.84
K (0.0000, 0.2956, 0.0000)  2 Au 3.55, 7 K 3.58-3.84, 2 As 3.90
As (0.0000, 0.5000, 0.5000)  12 K 3.54-3.90
Au (0.0000, 0.5000, 0.1821)  8 K 3.55-3.66

Computed properties:
The value obtained for the uncorrected energy is -43.66 eV for the cell shown. The calculation puts the spin magnetization at 0.00 Bohr magnetons per cell.



Entry 4:
This record from Alexandria describes Ce4Te3Pb after structural relaxation. The functional is GGA-PBE.

Cell: 6.3786 6.3786 6.3786 Å, 90.00 90.00 90.00°
Last column: nearest neighbours and their distance in Å.
Space group Pm-3m (No. 221)
Inequivalent atoms, fractional coordinates:
Ce (0.0000, 0.0000, 0.0000)  6 Te 3.19
Ce (0.0000, 0.5000, 0.5000)  2 Pb 3.19, 4 Te 3.19
Te (0.0000, 0.0000, 0.5000)  6 Ce 3.19
Pb (0.5000, 0.5000, 0.5000)  6 Ce 3.19

Computed properties:
The value obtained for the uncorrected energy is -45.97 eV for the cell shown. As for the energy relative to the elements, uncorrected: -1.137 eV per atom. The calculation puts the spin magnetization at 4.03 Bohr magnetons per cell. For the polymorph energy (0 for the lowest one), the calculation gives 0.00 eV per formula unit.



Entry 5:
This record from Alexandria describes Nb3IrSe6 after structural relaxation. The functional is GGA-PBE.

Cell: 10.1391 10.1391 13.2358 Å, 90.00 90.00 120.00°
Last column: nearest neighbours and their distance in Å.
Space group R-3 (No. 148, hexagonal axes)
Inequivalent atoms, fractional coordinates:
Nb (0.0110, 0.4356, 0.3954)  5 Se 2.56-2.78
Ir (0.0000, 0.0000, 0.0000)  6 Se 2.56
Ir (0.0000, 0.0000, 0.5000)  6 Se 2.52
Se (0.0389, 0.1884, 0.3631)  1 Ir 2.52, 2 Nb 2.69
Se (0.0604, 0.8384, 0.1190)  1 Ir 2.56, 3 Nb 2.56-2.78

Computed properties:
The value obtained for the uncorrected energy is -386.69 eV for the cell shown. As for the energy relative to the elements, uncorrected: -0.447 eV per atom. The calculation puts the spin magnetization at 0.00 Bohr magnetons per cell.



Entry 6:
This record from Alexandria describes DyTiV4 after structural relaxation. The functional is GGA-PBE.

Cell: 7.3398 7.3398 7.3398 Å, 90.00 90.00 90.00°
Last column: nearest neighbours and their distance in Å.
Space group F-43m (No. 216)
Inequivalent atoms, fractional coordinates:
Dy (0.0000, 0.0000, 0.0000)  12 V 3.04, 4 Ti 3.18
Ti (0.2500, 0.2500, 0.2500)  12 V 3.04, 4 Dy 3.18
V (0.1250, 0.1250, 0.6250)  6 V 2.59-2.60

Computed properties:
The value obtained for the uncorrected energy is -189.42 eV for the cell shown. The calculation puts the spin magnetization at 0.00 Bohr magnetons per cell.